DFT (PBE) results for crystalline Mg2OsRh at its relaxed geometry.

Lattice parameters (Å, degrees): 2.7492 4.3313 5.2071 90.00 96.25 90.00
Fractional positions:
Mg1 0.2298 0.0000 0.2506
Mg2 0.7702 0.0000 0.7494
Os1 0.5000 0.5000 0.0000
Rh1 0.0000 0.5000 0.5000

Results
Space group: P2/m, No. 10

---

DFT (PBE) results for crystalline MgOs2Rh at its relaxed geometry.

Lattice parameters (Å, degrees): 5.7604 5.7604 5.7604 152.28 135.64 53.12
Fractional positions:
Mg1 0.0000 0.0000 0.0000
Os1 0.2826 0.7826 0.5000
Os2 0.7174 0.2174 0.5000
Rh1 0.5000 0.5000 0.0000

Results
Space group: Immm, No. 71

---

DFT (PBE) results for crystalline MgOs2Rh at its relaxed geometry.

Lattice parameters (Å, degrees): 4.8851 4.8851 4.6120 99.75 99.75 32.94
Fractional positions:
Mg1 0.0000 0.0000 0.0000
Os1 0.2397 0.2397 0.7482
Os2 0.7603 0.7603 0.2518
Rh1 0.5000 0.5000 0.5000

Results
Space group: C2/m, No. 12

---

no.,formation enthalpy at 0 K (eV/atom)
1,0.020
2,0.100
3,0.078